Here is a relaxed K2SeCl crystal from the Alexandria database. Energies are from PBE-GGA.

a = 5.8020 Å, b = 3.4780 Å, c = 5.7893 Å
α = 89.98°, β = 90.00°, γ = 90.00°
Positions (direct):
K  0.0000  0.1260  0.8746
Se  0.0000  0.6258  0.3745
K  0.5000  0.1247  0.3759
Cl  0.5000  0.6235  0.8750

- Calculated density: 2738 kg/m³
- Raw formation energy: -1.213 eV per atom
- DFT total energy: -0.227 Ry/atom
- Space-group type: No. 6
- Total magnetization: 0.0375 μB/atom